Below is a geometry-optimized TmCdWO6 structure, with properties calculated at the GGA+U level.

Cell: 5.5586 5.5586 4.6842 Å, 90.00 90.00 120.00°
Atoms (fractional coordinates):
Tm  0.0000  0.0000  0.0000
Cd  0.6667  0.3333  0.5000
W  0.3333  0.6667  0.0000
O  0.0409  0.3692  0.2274
O  0.0409  0.6718  0.7726
O  0.3282  0.3692  0.7726
O  0.3282  0.9591  0.2274
O  0.6308  0.6718  0.2274
O  0.6308  0.9591  0.7726

Results
DFT total energy = -6.728 eV/atom
Crystal system = trigonal